*1*
DFT (GGA+U) results for CoNiF3 after structural relaxation.

a b c (Å): 3.991 3.991 3.991
angles (deg): 90.00 90.00 90.00
Each line ends with the local moment (μB).
Fractional coordinates of all 5 atoms:
Co1 0.000 0.000 0.000  2.75
F1 0.500 0.000 0.000  0.08
F2 0.000 0.000 0.500  0.04
F3 0.000 0.500 0.000  0.07
Ni1 0.500 0.500 0.500  1.12

Summary:
Spin magnetization: 4.0 μB/cell

*2*
DFT (GGA+U) results for CoNiF3 after structural relaxation.

a b c (Å): 3.989 3.989 3.989
angles (deg): 90.00 90.00 90.00
Each line ends with the local moment (μB).
Fractional coordinates of all 5 atoms:
F1 0.000 0.500 0.000  0.07
F2 0.500 0.000 0.000  0.07
F3 0.000 0.000 0.500  0.04
Ni1 0.000 0.000 0.000  1.85
Co1 0.500 0.500 0.500  2.47

Summary:
Spin magnetization: 4.6 μB/cell

List of relative energies, unit kJ/mol of atoms: *1* 35.8; *2* 0.0

*1*
DFT (GGA+U) results for CoNi3F after structural relaxation.

a b c (Å): 4.395 4.395 4.395
angles (deg): 90.00 90.00 90.00
Each line ends with the local moment (μB).
Fractional coordinates of all 5 atoms:
Ni1 0.000 0.000 0.500  1.32
Ni2 0.500 0.000 0.000  1.34
Ni3 0.000 0.500 0.000  1.31
Co1 0.000 0.000 0.000  1.29
F1 0.500 0.500 0.500  -0.15

Summary:
Spin magnetization: 4.5 μB/cell

*2*
DFT (GGA+U) results for CoNi3F after structural relaxation.

a b c (Å): 4.047 4.047 4.047
angles (deg): 90.00 90.00 90.00
Each line ends with the local moment (μB).
Fractional coordinates of all 5 atoms:
Ni1 0.000 0.000 0.500  1.00
Ni2 0.000 0.500 0.000  0.97
Ni3 0.500 0.000 0.000  0.98
Co1 0.500 0.500 0.500  1.96
F1 0.000 0.000 0.000  0.03

Summary:
Spin magnetization: 4.7 μB/cell

List of relative energies, unit kJ/mol of atoms: *1* 85.6; *2* 0.0

*1*
DFT (GGA+U) results for Co3NiF after structural relaxation.

a b c (Å): 4.045 4.045 4.045
angles (deg): 90.00 90.00 90.00
Each line ends with the local moment (μB).
Fractional coordinates of all 5 atoms:
Co1 0.500 0.000 0.000  2.03
Co2 0.000 0.000 0.500  2.01
Co3 0.000 0.500 0.000  2.12
F1 0.000 0.000 0.000  0.03
Ni1 0.500 0.500 0.500  0.19

Summary:
Spin magnetization: 6.2 μB/cell

*2*
DFT (GGA+U) results for Co3NiF after structural relaxation.

a b c (Å): 4.396 4.396 4.396
angles (deg): 90.00 90.00 90.00
Each line ends with the local moment (μB).
Fractional coordinates of all 5 atoms:
Ni1 0.000 0.000 0.000  0.74
Co1 0.000 0.000 0.500  2.40
Co2 0.000 0.500 0.000  2.27
Co3 0.500 0.000 0.000  2.08
F1 0.500 0.500 0.500  -0.07

Summary:
Spin magnetization: 7.0 μB/cell

List of relative energies, unit kJ/mol of atoms: *1* 0.0; *2* 25.2